1.
Below is crystalline Th4AlOs at its relaxed geometry, with properties calculated at the PBE level.

Properties
Energy relative to the lowest polymorph listed for this composition = 86 kJ/mol of formula units
Calculated density = 10.755 g/cm³
Magnetization = 0.0 μB per formula unit
Energy of formation from the pure elements = -56 kJ/mol of formula units
Density of states at the Fermi level = 1.08 states/eV/atom

a b c (Å): 10.4840 10.4840 6.4078
angles (deg): 90.00 90.00 149.86
Fractional coordinates of all 12 atoms:
1 Th 0.0522 0.9478 0.7500
2 Th 0.2064 0.7936 0.5070
3 Th 0.2064 0.7936 0.9930
4 Th 0.4008 0.5992 0.7500
5 Th 0.5992 0.4008 0.2500
6 Th 0.7936 0.2064 0.0070
7 Th 0.7936 0.2064 0.4930
8 Th 0.9478 0.0522 0.2500
9 Al 0.3484 0.6516 0.2500
10 Al 0.6516 0.3484 0.7500
11 Os 0.0829 0.9171 0.2500
12 Os 0.9171 0.0829 0.7500



2.
Below is crystalline ThAlOs2 at its relaxed geometry, with properties calculated at the PBE level.

Properties
Energy relative to the lowest polymorph listed for this composition = 224 kJ/mol of formula units
Calculated density = 11.955 g/cm³
Magnetization = 0.0 μB per formula unit
Energy of formation from the pure elements = 160 kJ/mol of formula units
Density of states at the Fermi level = 1.18 states/eV/atom

a b c (Å): 5.8490 7.2353 8.3956
angles (deg): 90.00 90.00 90.00
Fractional coordinates of all 16 atoms:
1 Th 0.2500 0.0000 0.1755
2 Th 0.2500 0.5000 0.2795
3 Th 0.7500 0.0000 0.8245
4 Th 0.7500 0.5000 0.7205
5 Al 0.2500 0.0000 0.7509
6 Al 0.2500 0.5000 0.7707
7 Al 0.7500 0.0000 0.2491
8 Al 0.7500 0.5000 0.2293
9 Os 0.0000 0.0000 0.5000
10 Os 0.0000 0.5000 0.0000
11 Os 0.2500 0.2954 0.5372
12 Os 0.2500 0.7046 0.5372
13 Os 0.5000 0.0000 0.5000
14 Os 0.5000 0.5000 0.0000
15 Os 0.7500 0.2954 0.4628
16 Os 0.7500 0.7046 0.4628



3.
Below is crystalline ThAl4Os at its relaxed geometry, with properties calculated at the PBE level.

Properties
Calculated density = 7.722 g/cm³
Magnetization = 0.0 μB per formula unit
Energy of formation from the pure elements = -292 kJ/mol of formula units
Density of states at the Fermi level = 0.27 states/eV/atom

a b c (Å): 7.7260 4.2050 7.0184
angles (deg): 90.00 90.00 90.00
Fractional coordinates of all 12 atoms:
1 Th 0.2500 0.0000 0.1262
2 Th 0.7500 0.0000 0.8738
3 Al 0.0000 0.0000 0.5000
4 Al 0.0664 0.5000 0.8081
5 Al 0.2500 0.5000 0.4655
6 Al 0.4336 0.5000 0.8081
7 Al 0.5000 0.0000 0.5000
8 Al 0.5664 0.5000 0.1919
9 Al 0.7500 0.5000 0.5345
10 Al 0.9336 0.5000 0.1919
11 Os 0.2500 0.0000 0.7080
12 Os 0.7500 0.0000 0.2920



4.
Below is crystalline Th2Al3Os2 at its relaxed geometry, with properties calculated at the PBE level.

Properties
Calculated density = 10.824 g/cm³
Magnetization = 0.0 μB per formula unit
Energy of formation from the pure elements = -351 kJ/mol of formula units
Density of states at the Fermi level = 0.57 states/eV/atom

a b c (Å): 5.5573 5.5573 7.2605
angles (deg): 112.79 112.79 44.19
Fractional coordinates of all 7 atoms:
1 Th 0.1426 0.1426 0.2710
2 Th 0.8574 0.8574 0.7290
3 Al 0.3579 0.3579 0.0637
4 Al 0.5000 0.5000 0.5000
5 Al 0.6421 0.6421 0.9363
6 Os 0.1371 0.1371 0.7025
7 Os 0.8629 0.8629 0.2975



5.
Below is crystalline Th4AlOs at its relaxed geometry, with properties calculated at the PBE level.

Properties
Energy relative to the lowest polymorph listed for this composition = 0 kJ/mol of formula units
Calculated density = 11.644 g/cm³
Magnetization = 0.0 μB per formula unit
Energy of formation from the pure elements = -142 kJ/mol of formula units
Density of states at the Fermi level = 1.33 states/eV/atom

a b c (Å): 7.3727 7.3727 6.0100
angles (deg): 90.00 90.00 90.00
Fractional coordinates of all 12 atoms:
1 Th 0.1492 0.3241 0.0000
2 Th 0.1492 0.6759 0.5000
3 Th 0.3241 0.1492 0.5000
4 Th 0.3241 0.8508 0.0000
5 Th 0.6759 0.1492 0.0000
6 Th 0.6759 0.8508 0.5000
7 Th 0.8508 0.3241 0.5000
8 Th 0.8508 0.6759 0.0000
9 Al 0.5000 0.5000 0.2500
10 Al 0.5000 0.5000 0.7500
11 Os 0.0000 0.0000 0.2500
12 Os 0.0000 0.0000 0.7500



6.
Below is crystalline Th2AlOs3 at its relaxed geometry, with properties calculated at the PBE level.

Properties
Calculated density = 15.318 g/cm³
Magnetization = 0.0 μB per formula unit
Energy of formation from the pure elements = -198 kJ/mol of formula units
Density of states at the Fermi level = 1.35 states/eV/atom

a b c (Å): 5.6326 5.6326 8.3780
angles (deg): 90.00 90.00 120.00
Fractional coordinates of all 12 atoms:
1 Th 0.3333 0.6667 0.0665
2 Th 0.3333 0.6667 0.4335
3 Th 0.6667 0.3333 0.5665
4 Th 0.6667 0.3333 0.9335
5 Al 0.0000 0.0000 0.0000
6 Al 0.0000 0.0000 0.5000
7 Os 0.1698 0.3396 0.7500
8 Os 0.1698 0.8302 0.7500
9 Os 0.3396 0.1698 0.2500
10 Os 0.6604 0.8302 0.7500
11 Os 0.8302 0.1698 0.2500
12 Os 0.8302 0.6604 0.2500